[1]
Density functional theory data (GGA-PBE) for a relaxed structure of TaSiAgHg2.

Summary:
Crystal system ... tetragonal
Raw total energy ... -2.70 eV per atom

Unit cell a=5.0449 b=5.0449 c=5.2045 alpha=90.00 beta=90.00 gamma=90.00
With the nearest neighbours (Å) after each atom.
Space group P4/mmm (No. 123)
Asymmetric unit:
1 Ta 0.0000 0.0000 0.0000 (multiplicity 1)  2 Ag 2.60
2 Si 0.5000 0.5000 0.0000 (multiplicity 1)  4 Ta 3.57, 8 Hg 3.62
3 Ag 0.0000 0.0000 0.5000 (multiplicity 1)  4 Hg 2.52, 2 Ta 2.60
4 Hg 0.0000 0.5000 0.5000 (multiplicity 2)  2 Ag 2.52

***

[2]
Density functional theory data (GGA-PBE) for a relaxed structure of TlCd5Hg5.

Summary:
ΔE_f ... 0.0223 eV/atom
Crystal system ... triclinic
Raw total energy ... -0.75 eV per atom

Unit cell a=5.9885 b=6.0167 c=8.8253 alpha=104.82 beta=109.54 gamma=97.47
With the nearest neighbours (Å) after each atom.
Space group P1 (No. 1)
Asymmetric unit:
1 Tl 0.0000 0.0000 0.0000 (multiplicity 1)  3 Cd 3.16-3.44, 6 Hg 3.22-3.53
2 Cd 0.0922 0.5656 0.2603 (multiplicity 1)  4 Hg 2.97-3.21, 2 Cd 3.03-3.12
3 Cd 0.4356 0.9818 0.8688 (multiplicity 1)  2 Cd 2.98-3.12, 4 Hg 3.02-3.27, 2 Tl 3.16-3.19
4 Cd 0.4702 0.5648 0.5895 (multiplicity 1)  6 Cd 3.02-3.28, 4 Hg 3.02-3.26
5 Cd 0.6012 0.0537 0.5443 (multiplicity 1)  4 Cd 3.10-3.43, 6 Hg 3.12-3.46
6 Cd 0.9636 0.7217 0.5808 (multiplicity 1)  5 Cd 2.98-3.28, 3 Hg 3.14-3.18
7 Hg 0.0601 0.0827 0.3887 (multiplicity 1)  5 Cd 3.08-3.38, 3 Hg 3.19-3.41, 1 Tl 3.22
8 Hg 0.1439 0.3610 0.7707 (multiplicity 1)  4 Hg 3.10-3.27, 4 Cd 3.15-3.22
9 Hg 0.4876 0.7365 0.1447 (multiplicity 1)  3 Cd 3.04-3.34, 4 Hg 3.10-3.27
10 Hg 0.5914 0.3054 0.2642 (multiplicity 1)  3 Hg 3.10-3.25, 5 Cd 3.14-3.27, 1 Tl 3.46
11 Hg 0.7378 0.4509 0.9062 (multiplicity 1)  4 Cd 2.97-3.23, 3 Hg 3.10-3.27, 1 Tl 3.23

***

[3]
Density functional theory data (GGA-PBE) for a relaxed structure of LaBPt3.

Summary:
ΔE_f ... -0.7081 eV/atom
Crystal system ... hexagonal
Raw total energy ... -6.65 eV per atom

Unit cell a=5.8925 b=5.8925 c=5.7553 alpha=90.00 beta=90.00 gamma=120.00
With the nearest neighbours (Å) after each atom.
Space group P6_3/mmc (No. 194)
Asymmetric unit:
1 La 0.3333 0.6667 0.2500 (multiplicity 2)  6 Pt 2.95
2 B 0.0000 0.0000 0.0000 (multiplicity 2)  6 Pt 2.25
3 Pt 0.1698 0.3395 0.7500 (multiplicity 6)  2 B 2.25

***

Q: Which value of raw total energy does entry 1 give?
A: -2.70 eV per atom

***

Q: Number 3 is which compound?
A: LaBPt3

***

Q: The lowest raw total energy belongs to which entry?
A: LaBPt3